Density functional theory data (PBE-GGA) for a geometry-optimized CaCuPCl2 structure.

Values from the calculation:
As for the space group: No. 123. For the uncorrected formation energy, the calculation gives -2.8 eV per formula unit.

Cell: 4.831 4.831 4.671 Å, 90.00 90.00 90.00°
Fractional coordinates of all 5 atoms:
Ca (0.000, 0.000, 0.000)
Cu (0.500, 0.500, 0.500)
P (0.500, 0.500, 0.000)
Cl (0.000, 0.500, 0.500)
Cl (0.500, 0.000, 0.500)

=====

Density functional theory data (PBE-GGA) for a geometry-optimized Nd5Tl2Ga structure.

Values from the calculation:
The calculation puts the calculated formation energy at -287.9 meV per atom. As for the space group: No. 140.

Cell: 9.357 9.357 9.357 Å, 127.98 127.98 76.66°
Fractional coordinates of all 16 atoms:
Nd (0.000, 0.000, 0.000)
Nd (0.014, 0.514, 0.840)
Nd (0.175, 0.014, 0.500)
Nd (0.325, 0.825, 0.840)
Nd (0.486, 0.325, 0.500)
Nd (0.500, 0.500, 0.000)
Nd (0.514, 0.675, 0.500)
Nd (0.675, 0.175, 0.160)
Nd (0.825, 0.986, 0.500)
Nd (0.986, 0.486, 0.160)
Tl (0.129, 0.371, 0.500)
Tl (0.371, 0.871, 0.242)
Tl (0.629, 0.129, 0.758)
Tl (0.871, 0.629, 0.500)
Ga (0.250, 0.250, 0.000)
Ga (0.750, 0.750, 0.000)

=====

no.,relative energy among the computed polymorphs (kJ per mole of atoms),uncorrected energy (eV/cell)
1,0.00,-18.0
2,7.02,-67.8